--- P ---
## YPtW2 (SCAN)

Data for YPtW2 at its PBEsol-relaxed geometry.

abc: 10.313 2.982 4.763
angles: 90.00 104.76 90.00
Positions (direct):
Y  0.000  0.000  0.000
Y  0.500  0.500  0.000
Pt  0.000  0.500  0.500
Pt  0.500  0.000  0.500
W  0.233  0.000  0.726
W  0.267  0.500  0.274
W  0.733  0.500  0.726
W  0.767  0.000  0.274

Results
theoretical density = 15280 kg/m³
magnetic moment = 0.0 μB/f.u.

--- Q ---
## YPtW2 (SCAN)

Data for YPtW2 at its PBEsol-relaxed geometry.

abc: 6.519 6.519 6.519
angles: 90.00 90.00 90.00
Positions (direct):
Y  0.000  0.000  0.000
Y  0.000  0.500  0.500
Y  0.500  0.000  0.500
Y  0.500  0.500  0.000
Pt  0.250  0.250  0.250
Pt  0.250  0.750  0.750
Pt  0.750  0.250  0.750
Pt  0.750  0.750  0.250
W  0.000  0.000  0.500
W  0.000  0.500  0.000
W  0.250  0.250  0.750
W  0.250  0.750  0.250
W  0.500  0.000  0.000
W  0.500  0.500  0.500
W  0.750  0.250  0.250
W  0.750  0.750  0.750

Results
theoretical density = 15621 kg/m³
magnetic moment = 0.0 μB/f.u.

--- R ---
## YPtW2 (SCAN)

Data for YPtW2 at its PBEsol-relaxed geometry.

abc: 3.242 3.242 6.857
angles: 90.00 90.00 90.00
Positions (direct):
Y  0.000  0.000  0.000
Pt  0.500  0.500  0.274
W  0.000  0.000  0.511
W  0.500  0.500  0.706

Results
theoretical density = 15016 kg/m³
magnetic moment = 0.0 μB/f.u.

Structures ranked by computed energy, the most stable listed first: R, Q, P.

--- P ---
## YPt2W (SCAN)

Data for YPt2W at its PBEsol-relaxed geometry.

abc: 2.900 2.900 28.511
angles: 90.00 90.00 120.00
Positions (direct):
Y  0.000  0.000  0.000
Y  0.333  0.667  0.667
Y  0.667  0.333  0.333
Pt  0.000  0.000  0.499
Pt  0.000  0.000  0.751
Pt  0.333  0.667  0.166
Pt  0.333  0.667  0.418
Pt  0.667  0.333  0.085
Pt  0.667  0.333  0.832
W  0.000  0.000  0.239
W  0.333  0.667  0.905
W  0.667  0.333  0.572

Results
theoretical density = 15900 kg/m³
magnetic moment = 0.0 μB/f.u.

--- Q ---
## YPt2W (SCAN)

Data for YPt2W at its PBEsol-relaxed geometry.

abc: 2.866 4.782 10.253
angles: 90.00 90.00 90.00
Positions (direct):
Y  0.000  0.000  0.000
Y  0.500  0.500  0.500
Pt  0.000  0.000  0.501
Pt  0.000  0.500  0.766
Pt  0.500  0.000  0.266
Pt  0.500  0.500  0.001
W  0.000  0.500  0.222
W  0.500  0.000  0.722

Results
theoretical density = 15669 kg/m³
magnetic moment = 0.0 μB/f.u.

Structures ranked by computed energy, the most stable listed first: Q, P.

--- P ---
## Y5Pt3 (SCAN)

Data for Y5Pt3 at its PBEsol-relaxed geometry.

abc: 8.406 8.406 8.406
angles: 97.08 97.08 138.89
Positions (direct):
Y  0.084  0.789  0.873
Y  0.211  0.084  0.295
Y  0.250  0.750  0.500
Y  0.289  0.584  0.873
Y  0.416  0.289  0.705
Y  0.584  0.711  0.295
Y  0.711  0.416  0.127
Y  0.750  0.250  0.500
Y  0.789  0.916  0.705
Y  0.916  0.211  0.127
Pt  0.159  0.341  0.500
Pt  0.250  0.250  0.000
Pt  0.341  0.841  0.183
Pt  0.659  0.159  0.817
Pt  0.750  0.750  0.000
Pt  0.841  0.659  0.500

Results
theoretical density = 9352 kg/m³
magnetic moment = 0.0 μB/f.u.

--- Q ---
## Y5Pt3 (SCAN)

Data for Y5Pt3 at its PBEsol-relaxed geometry.

abc: 8.361 8.361 6.063
angles: 90.00 90.00 120.00
Positions (direct):
Y  0.000  0.247  0.250
Y  0.000  0.753  0.750
Y  0.247  0.000  0.250
Y  0.247  0.247  0.750
Y  0.333  0.667  0.000
Y  0.333  0.667  0.500
Y  0.667  0.333  0.000
Y  0.667  0.333  0.500
Y  0.753  0.000  0.750
Y  0.753  0.753  0.250
Pt  0.000  0.395  0.750
Pt  0.000  0.605  0.250
Pt  0.395  0.000  0.750
Pt  0.395  0.395  0.250
Pt  0.605  0.000  0.250
Pt  0.605  0.605  0.750

Results
theoretical density = 9318 kg/m³
magnetic moment = 0.0 μB/f.u.

Structures ranked by computed energy, the most stable listed first: Q, P.